The following is a PBE calculation of a geometry-optimized BaZrTc2 structure, from Alexandria.

Cell: 3.9791 3.1705 8.3304 Å, 71.49 90.00 90.00°
Last column: nearest neighbours and their distance in Å.
Positions (direct):
Ba 0.5000 0.8196 0.7851  2 Ba 3.17, 3 Tc 3.44-3.50
Tc 0.0000 0.9739 0.0980  2 Tc 2.45, 1 Zr 2.49
Tc 0.5000 0.2139 0.2168  2 Tc 2.45
Zr 0.0000 0.4925 0.4001  1 Tc 2.49

Summary:
calculated formation energy: 40.8 kJ/mol of atoms

The following is a PBE calculation of a geometry-optimized BaZrTc2 structure, from Alexandria.

Cell: 4.8543 4.8543 4.8543 Å, 60.00 60.00 60.00°
Last column: nearest neighbours and their distance in Å.
Positions (direct):
Ba 0.5000 0.5000 0.5000  4 Zr 2.97, 4 Tc 2.97
Tc 0.0000 0.0000 0.0000  4 Zr 2.97, 4 Tc 2.97
Tc 0.2500 0.2500 0.2500  4 Tc 2.97, 4 Ba 2.97
Zr 0.7500 0.7500 0.7500  4 Tc 2.97, 4 Ba 2.97

Summary:
calculated formation energy: 86.7 kJ/mol of atoms

Copy entry 2 word for word.
The following is a PBE calculation of a geometry-optimized BaZrTc2 structure, from Alexandria.

Cell: 4.8543 4.8543 4.8543 Å, 60.00 60.00 60.00°
Last column: nearest neighbours and their distance in Å.
Positions (direct):
Ba 0.5000 0.5000 0.5000  4 Zr 2.97, 4 Tc 2.97
Tc 0.0000 0.0000 0.0000  4 Zr 2.97, 4 Tc 2.97
Tc 0.2500 0.2500 0.2500  4 Tc 2.97, 4 Ba 2.97
Zr 0.7500 0.7500 0.7500  4 Tc 2.97, 4 Ba 2.97

Summary:
calculated formation energy: 86.7 kJ/mol of atoms